1.
Dy4RuRh2: relaxed, PBE.

a b c (Å): 7.2511 7.2064 7.8435
angles (deg): 111.21 111.21 107.55
With the nearest neighbours (Å) after each atom.
Fractional coordinates of all 14 atoms:
Dy  0.9049  0.2547  0.2823  2 Ru 2.77-2.97, 1 Rh 2.83
Dy  0.2382  0.5217  0.1530  4 Rh 2.79-3.10, 2 Ru 3.05-3.11
Dy  0.9781  0.6004  0.7514  3 Rh 2.78-3.11, 2 Ru 2.79-3.05
Dy  0.8493  0.9903  0.5772  3 Rh 2.78-2.95, 2 Ru 3.05-3.07
Dy  0.3710  0.1211  0.4271  2 Ru 2.98-2.99, 4 Rh 2.99-3.03
Dy  0.3766  0.1261  0.9288  4 Rh 2.84-2.87, 2 Ru 2.85-2.86
Dy  0.5060  0.7276  0.7054  3 Rh 2.79-3.10, 2 Ru 2.81-3.01
Dy  0.7799  0.6596  0.1043  1 Ru 2.78, 2 Rh 2.82-2.98
Ru  0.1250  0.7607  0.4881  7 Dy 2.78-3.07
Ru  0.0152  0.0148  0.0063  7 Dy 2.77-3.05
Rh  0.7358  0.2359  0.8479  7 Dy 2.78-3.11
Rh  0.4878  0.8725  0.1200  7 Dy 2.79-3.11, 1 Rh 3.08
Rh  0.6215  0.4862  0.3666  6 Dy 2.78-3.11
Rh  0.2607  0.3782  0.7415  6 Dy 2.79-3.10, 1 Rh 3.08

**Total moment**: 0.000 Bohr magnetons per cell
**ΔE_f**: -0.618 eV per atom
**DOS(E_F)**: 6.662 states/eV per cell

2.
Dy6Ru2Rh: relaxed, PBE.

a b c (Å): 4.8056 6.9509 7.5996
angles (deg): 83.72 71.57 69.78
With the nearest neighbours (Å) after each atom.
Fractional coordinates of all 9 atoms:
Dy  0.9598  0.2446  0.8359  3 Ru 2.92, 1 Rh 2.94
Dy  0.2957  0.2446  0.1641  3 Ru 2.92, 1 Rh 2.94
Dy  0.7043  0.7554  0.8359  3 Ru 2.92, 1 Rh 2.94
Dy  0.3722  0.7556  0.5000  2 Ru 2.92, 2 Rh 2.92
Dy  0.6278  0.2444  0.5000  2 Ru 2.92, 2 Rh 2.92
Dy  0.0402  0.7554  0.1641  3 Ru 2.92, 1 Rh 2.94
Ru  0.3339  0.5000  0.8322  8 Dy 2.92
Ru  0.6661  0.5000  0.1678  8 Dy 2.92
Rh  0.0000  0.5000  0.5000  8 Dy 2.92-2.94

**Total moment**: 0.000 Bohr magnetons per cell
**ΔE_f**: -0.409 eV per atom
**DOS(E_F)**: 5.554 states/eV per cell

3.
Dy6Ru2Rh: relaxed, PBE.

a b c (Å): 6.6075 7.2649 9.5198
angles (deg): 90.00 87.74 90.00
With the nearest neighbours (Å) after each atom.
Fractional coordinates of all 18 atoms:
Dy  0.8349  0.9605  0.2392  2 Ru 2.74-2.76, 1 Rh 2.77
Dy  0.8224  0.6701  0.5734  1 Rh 2.75, 3 Ru 2.79-3.06
Dy  0.8494  0.6693  0.9263  1 Rh 2.68, 1 Ru 2.91
Dy  0.6506  0.1693  0.5737  1 Rh 2.68, 1 Ru 2.91
Dy  0.6776  0.1701  0.9266  1 Rh 2.75, 3 Ru 2.79-3.06
Dy  0.6651  0.4605  0.2608  2 Ru 2.74-2.76, 1 Rh 2.77
Dy  0.1651  0.0395  0.7608  2 Ru 2.74-2.76, 1 Rh 2.77
Dy  0.1776  0.3299  0.4266  1 Rh 2.75, 3 Ru 2.79-3.06
Dy  0.1506  0.3307  0.0737  1 Rh 2.68, 1 Ru 2.91
Dy  0.3494  0.8307  0.4263  1 Rh 2.68, 1 Ru 2.91
Dy  0.3224  0.8299  0.0734  1 Rh 2.75, 3 Ru 2.79-3.06
Dy  0.3349  0.5395  0.7392  2 Ru 2.74-2.76, 1 Rh 2.77
Ru  0.9671  0.3653  0.7169  7 Dy 2.74-3.06
Ru  0.5329  0.8653  0.7831  7 Dy 2.74-3.06
Ru  0.4671  0.1347  0.2169  7 Dy 2.74-3.06
Ru  0.0329  0.6347  0.2831  7 Dy 2.74-3.06
Rh  0.5000  0.5000  0.0000  6 Dy 2.68-2.77
Rh  0.0000  0.0000  0.5000  6 Dy 2.68-2.77

**Total moment**: 0.000 Bohr magnetons per cell
**ΔE_f**: -0.399 eV per atom
**DOS(E_F)**: 9.774 states/eV per cell

4.
Dy4RuRh3: relaxed, PBE.

a b c (Å): 3.4396 4.8217 9.6212
angles (deg): 90.00 90.00 90.00
With the nearest neighbours (Å) after each atom.
Fractional coordinates of all 8 atoms:
Ru  0.5000  0.5000  0.0000  8 Dy 2.93-2.96
Rh  0.5000  0.0000  0.2515  8 Dy 2.94-2.97
Rh  0.5000  0.5000  0.5000  8 Dy 2.96-2.98
Rh  0.5000  0.0000  0.7485  8 Dy 2.94-2.97
Dy  0.0000  0.0000  0.5000  8 Rh 2.94-2.96
Dy  0.0000  0.5000  0.7534  2 Ru 2.93, 6 Rh 2.96-2.98
Dy  0.0000  0.0000  0.0000  4 Ru 2.96, 4 Rh 2.97
Dy  0.0000  0.5000  0.2466  2 Ru 2.93, 6 Rh 2.96-2.98

**Total moment**: 0.000 Bohr magnetons per cell
**ΔE_f**: -0.757 eV per atom
**DOS(E_F)**: 3.836 states/eV per cell

5.
Dy8Ru2Rh: relaxed, PBE.

a b c (Å): 5.8946 7.5454 7.5454
angles (deg): 113.53 100.71 100.71
With the nearest neighbours (Å) after each atom.
Fractional coordinates of all 11 atoms:
Dy  0.5840  0.3417  0.0822  2 Ru 2.77-2.78
Dy  0.5840  0.0822  0.3417  2 Ru 2.77-2.78
Dy  0.1814  0.3642  0.3642  1 Rh 2.88, 2 Ru 3.02
Dy  0.9896  0.2127  0.7876  1 Rh 2.77
Dy  0.9896  0.7876  0.2127  1 Rh 2.77
Dy  0.8026  0.6417  0.6417  1 Rh 2.91, 2 Ru 3.00
Dy  0.3881  0.9240  0.6646  2 Ru 2.77-2.80
Dy  0.3881  0.6646  0.9240  2 Ru 2.77-2.80
Ru  0.4938  0.6976  0.3158  6 Dy 2.77-3.02
Ru  0.4938  0.3158  0.6976  6 Dy 2.77-3.02
Rh  0.1047  0.0017  0.0017  4 Dy 2.77-2.91

**Total moment**: 0.000 Bohr magnetons per cell
**ΔE_f**: -0.304 eV per atom
**DOS(E_F)**: 9.184 states/eV per cell

6.
Dy5Ru4Rh: relaxed, PBE.

a b c (Å): 3.4045 3.4045 17.0073
angles (deg): 90.00 90.00 90.00
With the nearest neighbours (Å) after each atom.
Fractional coordinates of all 10 atoms:
Dy  0.5000  0.5000  0.1027  4 Ru 2.92, 4 Rh 2.97
Dy  0.5000  0.5000  0.3009  8 Ru 2.94-2.96
Dy  0.5000  0.5000  0.5000  8 Ru 2.94
Dy  0.5000  0.5000  0.6991  8 Ru 2.94-2.96
Dy  0.5000  0.5000  0.8973  4 Ru 2.92, 4 Rh 2.97
Ru  0.0000  0.0000  0.1996  8 Dy 2.92-2.96
Ru  0.0000  0.0000  0.4004  8 Dy 2.94
Ru  0.0000  0.0000  0.5996  8 Dy 2.94
Ru  0.0000  0.0000  0.8004  8 Dy 2.92-2.96
Rh  0.0000  0.0000  0.0000  8 Dy 2.97

**Total moment**: 0.000 Bohr magnetons per cell
**ΔE_f**: -0.447 eV per atom
**DOS(E_F)**: 8.769 states/eV per cell

7.
Dy8RuRh2: relaxed, PBE.

a b c (Å): 5.9336 7.5534 7.5534
angles (deg): 114.31 100.73 100.73
With the nearest neighbours (Å) after each atom.
Fractional coordinates of all 11 atoms:
Dy  0.5810  0.3393  0.0851  2 Rh 2.77-2.79
Dy  0.5810  0.0851  0.3393  2 Rh 2.77-2.79
Dy  0.1714  0.3600  0.3600  1 Ru 2.84, 2 Rh 3.07
Dy  0.9897  0.2095  0.7885  1 Ru 2.77
Dy  0.9897  0.7885  0.2095  1 Ru 2.77
Dy  0.8133  0.6464  0.6464  1 Ru 2.86, 2 Rh 3.06
Dy  0.3854  0.9216  0.6673  2 Rh 2.77-2.82
Dy  0.3854  0.6673  0.9216  2 Rh 2.77-2.82
Ru  0.1175  0.0025  0.0025  4 Dy 2.77-2.86
Rh  0.4926  0.6986  0.3152  6 Dy 2.77-3.07
Rh  0.4926  0.3152  0.6986  6 Dy 2.77-3.07

**Total moment**: 0.000 Bohr magnetons per cell
**ΔE_f**: -0.368 eV per atom
**DOS(E_F)**: 9.579 states/eV per cell

8.
Dy8Ru2Rh: relaxed, PBE.

a b c (Å): 4.8485 6.8422 9.0389
angles (deg): 106.34 105.56 90.00
With the nearest neighbours (Å) after each atom.
Fractional coordinates of all 11 atoms:
Dy  0.4039  0.5438  0.8078  1 Rh 3.08, 2 Ru 3.10, 6 Dy 3.35-3.39
Dy  0.6687  0.9664  0.3375  3 Ru 2.87-3.09, 1 Rh 3.01
Dy  0.7957  0.6848  0.5915  1 Ru 2.76
Dy  0.9684  0.2104  0.9367  1 Ru 2.91, 2 Rh 2.95
Dy  0.2043  0.3152  0.4085  1 Ru 2.76
Dy  0.3313  0.0336  0.6625  3 Ru 2.87-3.09, 1 Rh 3.01
Dy  0.5961  0.4562  0.1922  1 Rh 3.08, 2 Ru 3.10, 6 Dy 3.35-3.39
Dy  0.0316  0.7896  0.0633  1 Ru 2.91, 2 Rh 2.95
Ru  0.8144  0.2978  0.6287  5 Dy 2.76-3.09
Ru  0.1856  0.7022  0.3713  5 Dy 2.76-3.09
Rh  0.5000  0.0000  0.0000  8 Dy 2.95-3.08

**Total moment**: 0.000 Bohr magnetons per cell
**ΔE_f**: -0.346 eV per atom
**DOS(E_F)**: 10.313 states/eV per cell

9.
Dy6Ru5Rh: relaxed, PBE.

a b c (Å): 4.8094 6.8226 7.5932
angles (deg): 90.00 71.54 90.00
With the nearest neighbours (Å) after each atom.
Fractional coordinates of all 12 atoms:
Ru  0.6659  0.5000  0.6682  8 Dy 2.93-2.94
Ru  0.3338  0.0000  0.3324  8 Dy 2.94-2.95
Ru  0.0000  0.5000  0.0000  8 Dy 2.94-2.95
Ru  0.6662  0.0000  0.6676  8 Dy 2.94-2.95
Ru  0.3341  0.5000  0.3318  8 Dy 2.93-2.94
Rh  0.0000  0.0000  0.0000  8 Dy 2.96
Dy  0.8324  0.7489  0.3352  7 Ru 2.94-2.95, 1 Rh 2.96
Dy  0.8324  0.2511  0.3352  7 Ru 2.94-2.95, 1 Rh 2.96
Dy  0.5000  0.2519  0.0000  6 Ru 2.93-2.95, 2 Rh 2.96
Dy  0.5000  0.7481  0.0000  6 Ru 2.93-2.95, 2 Rh 2.96
Dy  0.1676  0.7489  0.6648  7 Ru 2.94-2.95, 1 Rh 2.96
Dy  0.1676  0.2511  0.6648  7 Ru 2.94-2.95, 1 Rh 2.96

**Total moment**: 0.000 Bohr magnetons per cell
**ΔE_f**: -0.426 eV per atom
**DOS(E_F)**: 9.261 states/eV per cell

10.
Dy3RuRh: relaxed, PBE.

a b c (Å): 6.7936 6.7832 7.4480
angles (deg): 62.85 62.83 59.96
With the nearest neighbours (Å) after each atom.
Fractional coordinates of all 10 atoms:
Dy  0.7457  0.4038  0.7539  2 Ru 2.76-2.77, 2 Rh 2.80
Dy  0.0963  0.7464  0.7536  2 Ru 2.77, 2 Rh 2.80
Dy  0.4035  0.0971  0.7526  2 Ru 2.76-2.77, 2 Rh 2.80
Dy  0.2543  0.5962  0.2461  2 Ru 2.76-2.77, 2 Rh 2.80
Dy  0.9037  0.2536  0.2463  2 Ru 2.77, 2 Rh 2.80
Dy  0.5965  0.9029  0.2474  2 Ru 2.76-2.77, 2 Rh 2.80
Ru  0.3282  0.3271  0.0163  6 Dy 2.76-2.77, 1 Rh 2.98
Ru  0.6718  0.6729  0.9837  6 Dy 2.76-2.77, 1 Rh 2.98
Rh  0.8291  0.8287  0.5134  6 Dy 2.80, 1 Ru 2.98
Rh  0.1709  0.1713  0.4866  6 Dy 2.80, 1 Ru 2.98

**Total moment**: 0.000 Bohr magnetons per cell
**ΔE_f**: -0.453 eV per atom
**DOS(E_F)**: 4.998 states/eV per cell